Material: CrP2Se
Method: DFT, GGA-PBE
State: optimized geometry

Computed properties:
E_form (uncorrected), meV per atom: 485
Symmetry: Cmmm

Unit cell a=4.4533 b=4.4533 c=3.3371 alpha=90.00 beta=90.00 gamma=105.03
With the nearest neighbours (Å) after each atom.
Positions (direct):
1 Cr 0.0000 0.0000 0.0000  2 Se 2.71, 8 P 2.78
2 P 0.0000 0.5000 0.5000  2 P 2.71, 4 Cr 2.78, 4 Se 2.78
3 P 0.5000 0.0000 0.5000  2 P 2.71, 4 Cr 2.78, 4 Se 2.78
4 Se 0.5000 0.5000 0.0000  2 Cr 2.71, 8 P 2.78